An optimized crystal structure of NpVF5. Source: Alexandria via LeMat-Bulk, functional PBE with a Hubbard U.

Geometry as extended XYZ:
```
14
Lattice="4.136 -4.622 0.000 4.136 4.622 0.000 -3.169 0.000 6.595" Properties=species:S:1:pos:R:3 pbc="T T T"
Np 1.759 3.888 4.946
Np 3.344 -3.888 1.649
V 2.068 2.311 0.000
V 0.483 -2.311 3.298
F 0.400 2.085 5.167
F 1.347 0.289 0.387
F 3.344 2.796 1.649
F -0.238 -0.289 3.685
F 3.118 2.085 4.726
F 1.985 -2.085 1.870
F 5.341 0.289 2.910
F 1.759 -2.796 4.946
F 3.756 -0.289 6.208
F 4.702 -2.085 1.428
```

Properties
- Total DFT energy (no corrections): -100.9 eV/cell